# CdTc2OsF, optimized geometry, DFT GGA-PBEsol
data_CdTc2OsF
_cell_length_a 4.744
_cell_length_b 4.744
_cell_length_c 3.897
_cell_angle_alpha 90.00
_cell_angle_beta 90.00
_cell_angle_gamma 90.00
_space_group_name_H-M_alt 'P 4/m m m'
_space_group_IT_number 123
_space_group_name_Hall '-P 4 2'
loop_
_atom_site_label
_atom_site_type_symbol
_atom_site_fract_x
_atom_site_fract_y
_atom_site_fract_z
_atom_site_occupancy
Cd1 Cd 0.000 0.000 0.000 1
Tc1 Tc 0.000 0.500 0.500 1
Os1 Os 0.500 0.500 0.500 1
F1 F 0.500 0.500 0.000 1
# * E_tot: -6.55 eV per atom